[1]
First-principles (GGA-PBE) data for an optimized crystal structure of LaHfAuCl, as listed in Alexandria via LeMat-Bulk.

Cell lengths 4.4325, 7.6998, 7.6998 Å; angles 26.57, 90.00, 90.00 degrees
Closest atoms and distances in Å follow each position.
Fractional positions:
La (0.0000, 0.0000, 0.0000)  2 Cl 3.15, 4 Au 3.15, 2 Hf 3.40
Hf (0.0000, 0.6934, 0.6934)  2 Cl 2.66, 2 Au 2.69
Au (0.5000, 0.5917, 0.5917)  2 Hf 2.69
Cl (0.0000, 0.3262, 0.3262)  2 Hf 2.66

Values from the calculation:
Density of states at the Fermi level in states/eV/f.u.: 2.68
Formation energy without anion corrections in meV/atom: -616
E above lowest polymorph in eV per atom: 0.1979

---

[2]
First-principles (GGA-PBE) data for an optimized crystal structure of HfMoAu2Cl, as listed in Alexandria via LeMat-Bulk.

Cell lengths 5.2960, 5.2960, 4.7620 Å; angles 90.00, 90.00, 90.00 degrees
Closest atoms and distances in Å follow each position.
Fractional positions:
Hf (0.0000, 0.0000, 0.0000)  2 Cl 2.38, 4 Au 2.65
Mo (0.5000, 0.5000, 0.5000)  8 Au 3.56, 4 Cl 3.74
Au (0.0000, 0.5000, 0.0000)  2 Hf 2.65
Au (0.5000, 0.0000, 0.0000)  2 Hf 2.65
Cl (0.0000, 0.0000, 0.5000)  2 Hf 2.38

Values from the calculation:
Density of states at the Fermi level in states/eV/f.u.: 3.30
Formation energy without anion corrections in meV/atom: 768

---

[3]
First-principles (GGA-PBE) data for an optimized crystal structure of HfPAuCl2, as listed in Alexandria via LeMat-Bulk.

Cell lengths 4.7799, 4.7799, 5.1462 Å; angles 90.00, 90.00, 90.00 degrees
Closest atoms and distances in Å follow each position.
Fractional positions:
Hf (0.0000, 0.0000, 0.0000)  4 P 3.38, 8 Cl 3.51
P (0.5000, 0.5000, 0.0000)  2 Au 2.57
Au (0.5000, 0.5000, 0.5000)  4 Cl 2.39, 2 P 2.57
Cl (0.0000, 0.5000, 0.5000)  2 Au 2.39
Cl (0.5000, 0.0000, 0.5000)  2 Au 2.39

Values from the calculation:
Density of states at the Fermi level in states/eV/f.u.: 3.47
Formation energy without anion corrections in meV/atom: 601
E above lowest polymorph in eV per atom: 0.9629

---

[4]
First-principles (GGA-PBE) data for an optimized crystal structure of HfPAuCl2, as listed in Alexandria via LeMat-Bulk.

Cell lengths 4.8373, 4.8373, 5.2443 Å; angles 90.00, 90.00, 90.00 degrees
Closest atoms and distances in Å follow each position.
Fractional positions:
Hf (0.0000, 0.0000, 0.0000)  4 Cl 2.42, 2 P 2.62
P (0.0000, 0.0000, 0.5000)  2 Hf 2.62
Au (0.5000, 0.5000, 0.5000)  4 P 3.42, 8 Cl 3.57
Cl (0.0000, 0.5000, 0.0000)  2 Hf 2.42
Cl (0.5000, 0.0000, 0.0000)  2 Hf 2.42

Values from the calculation:
Density of states at the Fermi level in states/eV/f.u.: 0.90
Formation energy without anion corrections in meV/atom: -362
E above lowest polymorph in eV per atom: 0.0000

---

[5]
First-principles (GGA-PBE) data for an optimized crystal structure of HfPt2AuCl, as listed in Alexandria via LeMat-Bulk.

Cell lengths 4.9796, 4.9796, 5.2936 Å; angles 90.00, 90.00, 90.00 degrees
Closest atoms and distances in Å follow each position.
Fractional positions:
Hf (0.0000, 0.0000, 0.0000)  4 Pt 2.49, 2 Au 2.65
Pt (0.0000, 0.5000, 0.0000)  2 Hf 2.49
Pt (0.5000, 0.0000, 0.0000)  2 Hf 2.49
Au (0.0000, 0.0000, 0.5000)  2 Hf 2.65
Cl (0.5000, 0.5000, 0.5000)  4 Au 3.52, 8 Pt 3.63

Values from the calculation:
Density of states at the Fermi level in states/eV/f.u.: 6.22
Formation energy without anion corrections in meV/atom: 770

---

[6]
First-principles (GGA-PBE) data for an optimized crystal structure of HfScAuCl2, as listed in Alexandria via LeMat-Bulk.

Cell lengths 4.6547, 4.6547, 6.4404 Å; angles 90.00, 90.00, 90.00 degrees
Closest atoms and distances in Å follow each position.
Fractional positions:
Hf (0.0000, 0.0000, 0.0000)  2 Sc 3.22, 4 Au 3.29
Sc (0.0000, 0.0000, 0.5000)  4 Cl 2.33
Au (0.5000, 0.5000, 0.0000)  4 Hf 3.29
Cl (0.0000, 0.5000, 0.5000)  2 Sc 2.33
Cl (0.5000, 0.0000, 0.5000)  2 Sc 2.33

Values from the calculation:
Density of states at the Fermi level in states/eV/f.u.: 5.49
Formation energy without anion corrections in meV/atom: -218

---

[7]
First-principles (GGA-PBE) data for an optimized crystal structure of HfTlAu2Cl, as listed in Alexandria via LeMat-Bulk.

Cell lengths 4.8140, 4.8140, 5.5087 Å; angles 90.00, 90.00, 90.00 degrees
Closest atoms and distances in Å follow each position.
Fractional positions:
Hf (0.0000, 0.0000, 0.0000)  4 Tl 3.40, 8 Au 3.66
Tl (0.5000, 0.5000, 0.0000)  2 Cl 2.75
Au (0.0000, 0.5000, 0.5000)  2 Cl 2.41
Au (0.5000, 0.0000, 0.5000)  2 Cl 2.41
Cl (0.5000, 0.5000, 0.5000)  4 Au 2.41

Values from the calculation:
Density of states at the Fermi level in states/eV/f.u.: 3.28
Formation energy without anion corrections in meV/atom: 899

---

[8]
First-principles (GGA-PBE) data for an optimized crystal structure of HgAu2Cl2, as listed in Alexandria via LeMat-Bulk.

Cell lengths 8.4965, 8.4965, 3.0537 Å; angles 90.00, 90.00, 90.00 degrees
Closest atoms and distances in Å follow each position.
Fractional positions:
Hg (0.0000, 0.0000, 0.0000)  2 Hg 3.05, 4 Cl 3.26
Hg (0.5000, 0.5000, 0.0000)  2 Hg 3.05, 4 Cl 3.26
Au (0.1637, 0.3363, 0.5000)  6 Cl 2.77-3.03, 2 Au 3.05
Au (0.3363, 0.8363, 0.5000)  6 Cl 2.77-3.03, 2 Au 3.05
Au (0.6637, 0.1637, 0.5000)  6 Cl 2.77-3.03, 2 Au 3.05
Au (0.8363, 0.6637, 0.5000)  6 Cl 2.77-3.03, 2 Au 3.05
Cl (0.1436, 0.6436, 0.0000)  6 Au 2.77-3.03, 2 Cl 3.05
Cl (0.3564, 0.1436, 0.0000)  6 Au 2.77-3.03, 2 Cl 3.05
Cl (0.6436, 0.8564, 0.0000)  6 Au 2.77-3.03, 2 Cl 3.05
Cl (0.8564, 0.3564, 0.0000)  6 Au 2.77-3.03, 2 Cl 3.05

Values from the calculation:
Density of states at the Fermi level in states/eV/f.u.: 1.04
Formation energy without anion corrections in meV/atom: 265
E above lowest polymorph in eV per atom: 0.1414

---

[9]
First-principles (GGA-PBE) data for an optimized crystal structure of HgAuCl, as listed in Alexandria via LeMat-Bulk.

Cell lengths 3.8412, 3.8412, 5.5941 Å; angles 90.00, 90.00, 120.00 degrees
Closest atoms and distances in Å follow each position.
Fractional positions:
Hg (0.0000, 0.0000, 0.0000)  3 Au 2.79, 3 Cl 3.07
Au (0.6667, 0.3333, 0.3025)  3 Hg 2.79, 3 Cl 2.84
Cl (0.3333, 0.6667, 0.6204)  3 Au 2.84, 3 Hg 3.07

Values from the calculation:
Density of states at the Fermi level in states/eV/f.u.: 0.28
Formation energy without anion corrections in meV/atom: -67
E above lowest polymorph in eV per atom: 0.0404

---

[10]
First-principles (GGA-PBE) data for an optimized crystal structure of Hg4AuCl, as listed in Alexandria via LeMat-Bulk.

Cell lengths 7.8797, 7.8797, 5.6455 Å; angles 96.91, 96.91, 68.87 degrees
Closest atoms and distances in Å follow each position.
Fractional positions:
Hg (0.1290, 0.5483, 0.3738)  1 Au 2.91, 3 Hg 2.97-3.23
Hg (0.2290, 0.7710, 0.0000)  2 Cl 2.71, 2 Au 2.81
Hg (0.2693, 0.2693, 0.8432)  4 Hg 3.11-3.47, 2 Au 3.20-3.46
Hg (0.4517, 0.8710, 0.6262)  1 Au 2.91, 3 Hg 2.97-3.23
Hg (0.5483, 0.1290, 0.3738)  1 Au 2.91, 3 Hg 2.97-3.23
Hg (0.7307, 0.7307, 0.1568)  4 Hg 3.11-3.47, 2 Au 3.20-3.46
Hg (0.7710, 0.2290, 0.0000)  2 Cl 2.71, 2 Au 2.81
Hg (0.8710, 0.4517, 0.6262)  1 Au 2.91, 3 Hg 2.97-3.23
Au (0.4944, 0.4944, 0.2531)  2 Au 2.77-2.88, 4 Hg 2.81-2.91
Au (0.5056, 0.5056, 0.7469)  2 Au 2.77-2.88, 4 Hg 2.81-2.91
Cl (0.0950, 0.0950, 0.2612)  2 Hg 2.71
Cl (0.9050, 0.9050, 0.7388)  2 Hg 2.71

Values from the calculation:
Density of states at the Fermi level in states/eV/f.u.: 1.41
Formation energy without anion corrections in meV/atom: -116
E above lowest polymorph in eV per atom: 0.0000

---

[11]
First-principles (GGA-PBE) data for an optimized crystal structure of HgAuCl, as listed in Alexandria via LeMat-Bulk.

Cell lengths 6.1885, 6.1885, 6.1885 Å; angles 148.23, 148.23, 45.55 degrees
Closest atoms and distances in Å follow each position.
Fractional positions:
Hg (0.0000, 0.0000, 0.0000)  4 Au 2.90, 4 Cl 3.22
Au (0.6431, 0.6431, 0.0000)  4 Hg 2.90, 4 Cl 3.07
Cl (0.3110, 0.3110, 0.0000)  4 Au 3.07, 4 Hg 3.22, 4 Cl 3.39

Values from the calculation:
Density of states at the Fermi level in states/eV/f.u.: 0.86
Formation energy without anion corrections in meV/atom: 61
E above lowest polymorph in eV per atom: 0.1678

---

[12]
First-principles (GGA-PBE) data for an optimized crystal structure of Hg3AuCl, as listed in Alexandria via LeMat-Bulk.

Cell lengths 8.4005, 6.0954, 10.7451 Å; angles 90.00, 104.79, 90.00 degrees
Closest atoms and distances in Å follow each position.
Fractional positions:
Hg (0.0312, 0.0985, 0.2068)  3 Au 2.82-2.90, 1 Cl 3.16
Hg (0.0312, 0.4015, 0.7068)  3 Au 2.82-2.90, 1 Cl 3.16
Hg (0.2903, 0.5863, 0.0996)  1 Cl 2.59, 1 Au 2.76
Hg (0.2903, 0.9137, 0.5996)  1 Cl 2.59, 1 Au 2.76
Hg (0.3399, 0.0737, 0.9916)  1 Hg 2.80, 1 Au 2.80
Hg (0.3399, 0.4263, 0.4916)  1 Hg 2.80, 1 Au 2.80
Hg (0.6601, 0.5737, 0.5084)  1 Hg 2.80, 1 Au 2.80
Hg (0.6601, 0.9263, 0.0084)  1 Hg 2.80, 1 Au 2.80
Hg (0.7097, 0.0863, 0.4004)  1 Cl 2.59, 1 Au 2.76
Hg (0.7097, 0.4137, 0.9004)  1 Cl 2.59, 1 Au 2.76
Hg (0.9688, 0.5985, 0.2932)  3 Au 2.82-2.90, 1 Cl 3.16
Hg (0.9688, 0.9015, 0.7932)  3 Au 2.82-2.90, 1 Cl 3.16
Au (0.0348, 0.2190, 0.4612)  6 Hg 2.76-2.94, 1 Au 2.90
Au (0.0348, 0.2810, 0.9612)  6 Hg 2.76-2.94, 1 Au 2.90
Au (0.9652, 0.7190, 0.0388)  6 Hg 2.76-2.94, 1 Au 2.90
Au (0.9652, 0.7810, 0.5388)  6 Hg 2.76-2.94, 1 Au 2.90
Cl (0.4049, 0.5330, 0.8159)  1 Hg 2.59
Cl (0.4049, 0.9670, 0.3159)  1 Hg 2.59
Cl (0.5951, 0.0330, 0.6841)  1 Hg 2.59
Cl (0.5951, 0.4670, 0.1841)  1 Hg 2.59

Values from the calculation:
Density of states at the Fermi level in states/eV/f.u.: 1.11
Formation energy without anion corrections in meV/atom: -159
E above lowest polymorph in eV per atom: 0.0068